Entry from the Alexandria database: TaCdP2 after structural relaxation (PBE).

Uncorrected energy: -6.077 eV/atom

Unit cell a=3.5921 b=6.7493 c=6.7493 alpha=28.30 beta=90.00 gamma=90.00
Last column: nearest neighbours and their distance in Å.
Element x y z (fractional)
Ta (0.0000, 0.0000, 0.0000)  6 P 2.49-2.60
Cd (0.5000, 0.2316, 0.2316)  5 P 2.60-2.70
P (0.0000, 0.6428, 0.6428)  2 Ta 2.49, 4 Cd 2.70
P (0.5000, 0.4306, 0.4306)  4 Ta 2.60, 1 Cd 2.60